1.
Below is a relaxed TaReHg crystal, with properties calculated at the PBE level.

Cell: 4.4724 4.4724 4.4724 Å, 60.00 60.00 60.00°
Last column: nearest neighbours and their distance in Å.
Positions (direct):
Ta: 0.0000 0.0000 0.0000  4 Hg 2.74, 4 Re 2.74
Re: 0.2500 0.2500 0.2500  4 Ta 2.74
Hg: 0.7500 0.7500 0.7500  4 Ta 2.74

ΔH_f (0 K)   0.9613 eV/atom
Relative energy among the computed polymorphs   673 meV/atom


2.
Below is a relaxed Cu2Br13 crystal, with properties calculated at the PBE level.

Cell: 8.2685 8.7443 9.6480 Å, 104.94 106.66 96.54°
Last column: nearest neighbours and their distance in Å.
Positions (direct):
Cu: 0.2056 0.0877 0.1501  3 Br 2.34-2.38
Cu: 0.7944 0.9123 0.8499  3 Br 2.34-2.38
Br: 0.0042 0.2283 0.4509  2 Br 2.50-2.67
Br: 0.0804 0.9460 0.8408  1 Cu 2.38
Br: 0.0961 0.3887 0.7254  2 Br 2.50-2.61
Br: 0.2710 0.3660 0.1695  1 Cu 2.38, 1 Br 2.53
Br: 0.4145 0.5225 0.7775  2 Br 2.53-2.61
Br: 0.4294 0.9498 0.2121  1 Cu 2.34, 1 Br 2.57
Br: 0.5000 0.0000 0.5000  2 Br 2.57
Br: 0.5706 0.0502 0.7879  1 Cu 2.34, 1 Br 2.57
Br: 0.5855 0.4775 0.2225  2 Br 2.53-2.61
Br: 0.7290 0.6340 0.8305  1 Cu 2.38, 1 Br 2.53
Br: 0.9039 0.6113 0.2746  2 Br 2.50-2.61
Br: 0.9196 0.0540 0.1592  1 Cu 2.38
Br: 0.9958 0.7717 0.5491  2 Br 2.50-2.67

ΔE_f (raw)   -0.078 eV per atom


3.
Below is a relaxed U2Si3Ni5 crystal, with properties calculated at the PBE level.

Cell: 11.4128 11.4128 6.3577 Å, 90.00 90.00 159.66°
Last column: nearest neighbours and their distance in Å.
Positions (direct):
U: 0.0073 0.9927 0.5000  3 Ni 2.63-2.70, 5 Si 2.81-2.90
U: 0.3312 0.6688 0.5436  6 Si 2.81-3.12, 10 Ni 2.84-3.14
U: 0.6688 0.3312 0.0436  6 Si 2.81-3.12, 10 Ni 2.84-3.14
U: 0.9927 0.0073 0.0000  3 Ni 2.63-2.70, 5 Si 2.81-2.90
Si: 0.1204 0.8796 0.7195  5 Ni 2.34-2.58
Si: 0.2715 0.7285 0.1002  7 Ni 2.24-2.44
Si: 0.4458 0.5542 0.7196  5 Ni 2.33-2.54
Si: 0.5542 0.4458 0.2196  5 Ni 2.33-2.54
Si: 0.7285 0.2715 0.6002  7 Ni 2.24-2.44
Si: 0.8796 0.1204 0.2195  5 Ni 2.34-2.58
Ni: 0.1041 0.8959 0.2687  2 Si 2.33, 3 Ni 2.43-2.58
Ni: 0.2058 0.7942 0.3987  3 Si 2.40-2.44, 4 Ni 2.43-2.66
Ni: 0.2226 0.7774 0.7928  4 Si 2.24-2.36
Ni: 0.3744 0.6256 0.0107  4 Si 2.38-2.45, 3 Ni 2.53-2.58
Ni: 0.4454 0.5546 0.3203  4 Si 2.53-2.58, 1 Ni 2.53, 2 U 2.70
Ni: 0.5546 0.4454 0.8203  4 Si 2.53-2.58, 1 Ni 2.53, 2 U 2.70
Ni: 0.6256 0.3744 0.5107  4 Si 2.38-2.45, 3 Ni 2.53-2.58
Ni: 0.7774 0.2226 0.2928  4 Si 2.24-2.36
Ni: 0.7942 0.2058 0.8987  3 Si 2.40-2.44, 4 Ni 2.43-2.66
Ni: 0.8959 0.1041 0.7687  2 Si 2.33, 3 Ni 2.43-2.58

ΔE_f (raw)   -0.446 eV per atom


4.
Below is a relaxed Ti3VGa3 crystal, with properties calculated at the PBE level.

Cell: 5.7885 5.7885 7.3369 Å, 95.82 95.82 100.26°
Last column: nearest neighbours and their distance in Å.
Positions (direct):
Ti: 0.1335 0.8665 0.0000  1 Ti 2.37, 2 Ga 2.50
Ti: 0.2781 0.7219 0.5000  6 Ga 2.74-2.95, 2 V 2.77
Ti: 0.3775 0.3775 0.0674  1 Ti 2.20
Ti: 0.6225 0.6225 0.9326  1 Ti 2.20
Ti: 0.7219 0.2781 0.5000  6 Ga 2.74-2.95, 2 V 2.77
Ti: 0.8665 0.1335 0.0000  1 Ti 2.37, 2 Ga 2.50
V: 0.1142 0.1142 0.6461  4 Ga 2.39-2.51, 1 V 2.51
V: 0.8858 0.8858 0.3539  4 Ga 2.39-2.51, 1 V 2.51
Ga: 0.0548 0.4860 0.7891  1 V 2.39, 1 Ti 2.50
Ga: 0.2222 0.2222 0.3462  2 V 2.46-2.51, 1 Ti 2.50, 2 Ga 2.72
Ga: 0.4860 0.0548 0.7891  1 V 2.39, 1 Ti 2.50
Ga: 0.5140 0.9452 0.2109  1 V 2.39, 1 Ti 2.50
Ga: 0.7778 0.7778 0.6538  2 V 2.46-2.51, 1 Ti 2.50, 2 Ga 2.72
Ga: 0.9452 0.5140 0.2109  1 V 2.39, 1 Ti 2.50

ΔH_f (0 K)   -0.0161 eV/atom


5.
Below is a relaxed Pr4Ga12Ag crystal, with properties calculated at the PBE level.

Cell: 7.7155 7.7155 7.7155 Å, 109.47 109.47 109.47°
Last column: nearest neighbours and their distance in Å.
Positions (direct):
Pr: 0.0000 0.0000 0.5000  12 Ga 3.15-3.19
Pr: 0.0000 0.5000 0.0000  12 Ga 3.15-3.19
Pr: 0.5000 0.0000 0.0000  12 Ga 3.15-3.19
Pr: 0.5000 0.5000 0.5000  12 Ga 3.15-3.19
Ga: 0.0000 0.3057 0.3057  1 Ag 2.72, 4 Ga 2.82
Ga: 0.0000 0.6943 0.6943  1 Ag 2.72, 4 Ga 2.82
Ga: 0.2500 0.5000 0.7500  8 Ga 2.82-3.15, 4 Pr 3.15
Ga: 0.2500 0.7500 0.5000  8 Ga 2.82-3.15, 4 Pr 3.15
Ga: 0.3057 0.0000 0.3057  1 Ag 2.72, 4 Ga 2.82
Ga: 0.3057 0.3057 0.0000  1 Ag 2.72, 4 Ga 2.82
Ga: 0.5000 0.2500 0.7500  8 Ga 2.82-3.15, 4 Pr 3.15
Ga: 0.5000 0.7500 0.2500  8 Ga 2.82-3.15, 4 Pr 3.15
Ga: 0.6943 0.0000 0.6943  1 Ag 2.72, 4 Ga 2.82
Ga: 0.6943 0.6943 0.0000  1 Ag 2.72, 4 Ga 2.82
Ga: 0.7500 0.2500 0.5000  8 Ga 2.82-3.15, 4 Pr 3.15
Ga: 0.7500 0.5000 0.2500  8 Ga 2.82-3.15, 4 Pr 3.15
Ag: 0.0000 0.0000 0.0000  6 Ga 2.72

ΔH_f (0 K)   -0.5300 eV/atom


6.
Below is a relaxed Tb4SmMg crystal, with properties calculated at the PBE level.

Cell: 3.5906 3.5906 14.3555 Å, 90.00 90.00 90.00°
Last column: nearest neighbours and their distance in Å.
Positions (direct):
Tb: 0.0000 0.0000 0.1511  4 Mg 3.34, 8 Tb 3.53-3.59
Tb: 0.0000 0.0000 0.8489  4 Mg 3.34, 8 Tb 3.53-3.59
Tb: 0.5000 0.5000 0.3224  8 Tb 3.53-3.59, 4 Sm 3.60
Tb: 0.5000 0.5000 0.6776  8 Tb 3.53-3.59, 4 Sm 3.60
Sm: 0.0000 0.0000 0.5000  4 Sm 3.59, 8 Tb 3.60
Mg: 0.5000 0.5000 0.0000  8 Tb 3.34, 4 Mg 3.59

ΔH_f (0 K)   -0.0152 eV/atom
Relative energy among the computed polymorphs   0 meV/atom


7.
Below is a relaxed K2Na17Cd2 crystal, with properties calculated at the PBE level.

Cell: 9.1831 9.1831 10.2423 Å, 103.19 103.19 93.38°
Last column: nearest neighbours and their distance in Å.
Positions (direct):
K: 0.1726 0.1726 0.3918  2 Cd 3.55, 2 Na 3.82-3.90
K: 0.8274 0.8274 0.6082  2 Cd 3.55, 2 Na 3.82-3.90
Na: 0.0000 0.5000 0.0000  8 Na 3.40-3.61
Na: 0.1329 0.8671 0.0000  7 Na 3.52-3.77
Na: 0.1463 0.1463 0.7837  7 Na 3.49-3.77, 1 K 3.82
Na: 0.1729 0.6789 0.3337  1 Cd 3.21, 4 Na 3.29-3.53
Na: 0.2542 0.5272 0.7931  1 Cd 3.30, 5 Na 3.38-3.66
Na: 0.3211 0.8271 0.6663  1 Cd 3.21, 4 Na 3.29-3.53
Na: 0.3426 0.3426 0.1172  6 Na 3.49-3.76
Na: 0.4728 0.7458 0.2069  1 Cd 3.30, 5 Na 3.38-3.66
Na: 0.5000 0.0000 0.0000  8 Na 3.40-3.61
Na: 0.5000 0.5000 0.5000  10 Na 3.76-4.12, 2 K 3.90
Na: 0.5272 0.2542 0.7931  1 Cd 3.30, 5 Na 3.38-3.66
Na: 0.6574 0.6574 0.8828  6 Na 3.49-3.76
Na: 0.6789 0.1729 0.3337  1 Cd 3.21, 4 Na 3.29-3.53
Na: 0.7458 0.4728 0.2069  1 Cd 3.30, 5 Na 3.38-3.66
Na: 0.8271 0.3211 0.6663  1 Cd 3.21, 4 Na 3.29-3.53
Na: 0.8537 0.8537 0.2163  7 Na 3.49-3.77, 1 K 3.82
Na: 0.8671 0.1329 0.0000  7 Na 3.52-3.77
Cd: 0.0000 0.5000 0.5000  4 Na 3.21-3.30, 2 K 3.55
Cd: 0.5000 0.0000 0.5000  4 Na 3.21-3.30, 2 K 3.55

ΔH_f (0 K)   0.0356 eV/atom


8.
Below is a relaxed YLuTe3 crystal, with properties calculated at the PBE level.

Cell: 8.3741 8.3741 8.3741 Å, 53.50 53.50 53.50°
Last column: nearest neighbours and their distance in Å.
Positions (direct):
Y: 0.0000 0.0000 0.0000  6 Te 3.08
Y: 0.3226 0.3226 0.3226  6 Te 3.06-3.14
Lu: 0.4983 0.4983 0.4983  6 Te 3.02-3.03
Lu: 0.6729 0.6729 0.6729  6 Te 3.02-3.09
Te: 0.0914 0.4133 0.7391  2 Lu 3.02-3.03, 2 Y 3.08-3.14
Te: 0.2578 0.8968 0.5941  2 Lu 3.02-3.09, 2 Y 3.06-3.08
Te: 0.4133 0.7391 0.0914  2 Lu 3.02-3.03, 2 Y 3.08-3.14
Te: 0.5941 0.2578 0.8968  2 Lu 3.02-3.09, 2 Y 3.06-3.08
Te: 0.7391 0.0914 0.4133  2 Lu 3.02-3.03, 2 Y 3.08-3.14
Te: 0.8968 0.5941 0.2578  2 Lu 3.02-3.09, 2 Y 3.06-3.08

ΔE_f (raw)   -1.377 eV per atom
Relative energy among the computed polymorphs   14 meV/atom


9.
Below is a relaxed Cr2Co2Pd crystal, with properties calculated at the PBE level.

Cell: 6.8803 6.8803 2.5623 Å, 90.00 90.00 90.00°
Last column: nearest neighbours and their distance in Å.
Positions (direct):
Cr: 0.1174 0.3826 0.0000  1 Cr 2.28, 6 Co 2.40-2.41
Cr: 0.3826 0.8826 0.0000  1 Cr 2.28, 6 Co 2.40-2.41
Cr: 0.6174 0.1174 0.0000  1 Cr 2.28, 6 Co 2.40-2.41
Cr: 0.8826 0.6174 0.0000  1 Cr 2.28, 6 Co 2.40-2.41
Co: 0.1723 0.6723 0.5000  6 Cr 2.40-2.41, 2 Co 2.56
Co: 0.3277 0.1723 0.5000  6 Cr 2.40-2.41, 2 Co 2.56
Co: 0.6723 0.8277 0.5000  6 Cr 2.40-2.41, 2 Co 2.56
Co: 0.8277 0.3277 0.5000  6 Cr 2.40-2.41, 2 Co 2.56
Pd: 0.0000 0.0000 0.0000  2 Pd 2.56, 4 Cr 2.75, 8 Co 2.85
Pd: 0.5000 0.5000 0.0000  2 Pd 2.56, 4 Cr 2.75, 8 Co 2.85

ΔH_f (0 K)   0.1920 eV/atom
Relative energy among the computed polymorphs   79 meV/atom


10.
Below is a relaxed Ba2AlCrS6 crystal, with properties calculated at the PBE level.

Cell: 11.8782 11.8782 11.8782 Å, 33.25 33.25 33.25°
Last column: nearest neighbours and their distance in Å.
Positions (direct):
Ba: 0.1251 0.1251 0.1251  12 S 3.40-3.55
Ba: 0.2885 0.2885 0.2885  12 S 3.31-3.48
Ba: 0.7114 0.7114 0.7114  12 S 3.31-3.48
Ba: 0.8749 0.8749 0.8749  12 S 3.40-3.55
Al: 0.0000 0.0000 0.0000  6 S 2.37
Al: 0.5000 0.5000 0.5000  6 S 2.40
Cr: 0.4095 0.4095 0.4095  6 S 2.32-2.43
Cr: 0.5905 0.5905 0.5905  6 S 2.32-2.43
S: 0.1376 0.6144 0.6144  1 Al 2.40, 1 Cr 2.43
S: 0.2053 0.2053 0.7104  1 Cr 2.32, 1 Al 2.37
S: 0.2053 0.7104 0.2053  1 Cr 2.32, 1 Al 2.37
S: 0.2896 0.7947 0.7947  1 Cr 2.32, 1 Al 2.37
S: 0.3856 0.3856 0.8624  1 Al 2.40, 1 Cr 2.43
S: 0.3856 0.8624 0.3856  1 Al 2.40, 1 Cr 2.43
S: 0.6144 0.1376 0.6144  1 Al 2.40, 1 Cr 2.43
S: 0.6144 0.6144 0.1376  1 Al 2.40, 1 Cr 2.43
S: 0.7104 0.2053 0.2053  1 Cr 2.32, 1 Al 2.37
S: 0.7947 0.2896 0.7947  1 Cr 2.32, 1 Al 2.37
S: 0.7947 0.7947 0.2896  1 Cr 2.32, 1 Al 2.37
S: 0.8624 0.3856 0.3856  1 Al 2.40, 1 Cr 2.43

ΔE_f (raw)   -1.171 eV per atom